(1)
Computed, not measured: Tm6MgPt5 after structural relaxation at the PBE-GGA level of DFT.

Summary:
The formation enthalpy at 0 K is -1.10 eV per atom.

a b c (Å): 8.574 8.574 8.574
angles (deg): 147.10 131.69 59.68
Fractional coordinates of all 12 atoms:
Tm 0.072 0.329 0.743
Tm 0.232 0.000 0.232
Tm 0.415 0.671 0.743
Tm 0.585 0.329 0.257
Tm 0.768 0.000 0.768
Tm 0.928 0.671 0.257
Mg 0.500 0.500 0.000
Pt 0.000 0.500 0.500
Pt 0.175 0.175 0.000
Pt 0.356 0.856 0.500
Pt 0.644 0.144 0.500
Pt 0.825 0.825 0.000

***

(2)
Computed, not measured: Cd2SeO after structural relaxation at the PBE-GGA level of DFT.

Summary:
The calculation puts the energy above the most stable polymorph in this dataset at 90 meV per atom. The uncorrected formation energy comes out at -0.68 eV/atom.

a b c (Å): 3.988 3.988 6.657
angles (deg): 90.00 90.00 120.00
Fractional coordinates of all 4 atoms:
Cd 0.000 0.000 0.000
Cd 0.333 0.667 0.413
Se 0.000 0.000 0.597
O 0.333 0.667 0.081

***

(3)
Computed, not measured: CsRhSe3 after structural relaxation at the PBE-GGA level of DFT.

Summary:
The uncorrected formation energy comes out at 1.70 eV/atom.

a b c (Å): 5.852 5.852 5.852
angles (deg): 90.00 90.00 90.00
Fractional coordinates of all 5 atoms:
Cs 0.000 0.000 0.000
Rh 0.500 0.500 0.500
Se 0.000 0.000 0.500
Se 0.000 0.500 0.000
Se 0.500 0.000 0.000

***

(4)
Computed, not measured: ErU2Ni9 after structural relaxation at the PBE-GGA level of DFT.

Summary:
The formation enthalpy at 0 K is -0.32 eV per atom.

a b c (Å): 8.643 8.643 8.643
angles (deg): 32.64 32.64 32.64
Fractional coordinates of all 12 atoms:
Er 0.000 0.000 0.000
U 0.142 0.142 0.142
U 0.858 0.858 0.858
Ni 0.083 0.583 0.583
Ni 0.333 0.333 0.333
Ni 0.417 0.417 0.917
Ni 0.417 0.917 0.417
Ni 0.500 0.500 0.500
Ni 0.583 0.083 0.583
Ni 0.583 0.583 0.083
Ni 0.667 0.667 0.667
Ni 0.917 0.417 0.417

***

(5)
Computed, not measured: KZn4Au after structural relaxation at the PBE-GGA level of DFT.

Summary:
The formation enthalpy at 0 K is 0.03 eV per atom.

a b c (Å): 5.387 5.387 5.387
angles (deg): 60.00 60.00 60.00
Fractional coordinates of all 6 atoms:
K 0.000 0.000 0.000
Zn 0.131 0.623 0.623
Zn 0.623 0.131 0.623
Zn 0.623 0.623 0.131
Zn 0.623 0.623 0.623
Au 0.250 0.250 0.250

***

(6)
Computed, not measured: Dy2HRu after structural relaxation at the PBE-GGA level of DFT.

Summary:
The calculation puts the energy above the most stable polymorph in this dataset at 106 meV per atom.

a b c (Å): 3.270 3.270 7.037
angles (deg): 90.00 90.00 90.00
Fractional coordinates of all 4 atoms:
Dy 0.000 0.000 0.243
Dy 0.000 0.000 0.757
H 0.500 0.500 0.500
Ru 0.500 0.500 0.000

***

Number 1: DOS at the Fermi energy 7.706 states/eV per cell, E_tot -71.846 eV/cell. Number 2: DOS at the Fermi energy 0.837 states/eV per cell, E_tot -13.008 eV/cell. Number 3: DOS at the Fermi energy 8.028 states/eV per cell, E_tot -10.171 eV/cell. Number 4: DOS at the Fermi energy 15.027 states/eV per cell, E_tot -83.023 eV/cell. Number 5: DOS at the Fermi energy 1.176 states/eV per cell, E_tot -9.312 eV/cell. Number 6: DOS at the Fermi energy 2.332 states/eV per cell, E_tot -22.630 eV/cell.